1.
This record from the Alexandria database describes SmY4Sc2 after structural relaxation. The functional is PBE.

Cell: 5.590 8.998 8.998 Å, 90.00 90.00 90.00°
Positions (direct):
Sm: 0.500 0.000 0.000
Sm: 0.000 0.500 0.500
Y: 0.000 0.136 0.393
Y: 0.000 0.864 0.607
Y: 0.500 0.107 0.636
Y: 0.500 0.893 0.364
Y: 0.500 0.364 0.893
Y: 0.500 0.636 0.107
Y: 0.000 0.393 0.136
Y: 0.000 0.607 0.864
Sc: 0.000 0.189 0.811
Sc: 0.000 0.811 0.189
Sc: 0.500 0.689 0.689
Sc: 0.500 0.311 0.311

- raw total energy (eV per cell) = -82.56
- E_form (meV/atom) = 279.5


2.
This record from the Alexandria database describes Cs2TaAgCl6 after structural relaxation. The functional is PBE.

Cell: 7.462 7.462 7.465 Å, 60.02 60.02 90.00°
Each line ends with the local moment (μB).
Positions (direct):
Cs: 0.750 0.250 0.500  0.00
Cs: 0.250 0.750 0.500  0.00
Cl: 0.236 0.236 0.527  0.00
Cl: 0.764 0.764 0.473  0.00
Cl: 0.237 0.237 0.000  0.00
Cl: 0.763 0.763 0.000  0.00
Cl: 0.763 0.237 0.000  0.00
Cl: 0.237 0.763 0.000  0.00
Ag: 0.500 0.500 0.000  0.00
Ta: 0.000 0.000 0.000  1.37

- formation energy without anion corrections (eV/atom) = -1.30
- raw total energy (eV per cell) = -40.52


3.
This record from the Alexandria database describes KPa4Rh3S12 after structural relaxation. The functional is PBE.

Cell: 8.421 8.421 8.421 Å, 109.47 109.47 109.47°
Positions (direct):
K: 0.000 0.000 0.000
Pa: 0.500 0.000 0.000
Pa: 0.500 0.500 0.500
Pa: 0.000 0.500 0.000
Pa: 0.000 0.000 0.500
Rh: 0.000 0.500 0.500
Rh: 0.500 0.500 0.000
Rh: 0.500 0.000 0.500
S: 0.319 0.840 0.158
S: 0.681 0.160 0.842
S: 0.681 0.840 0.521
S: 0.842 0.681 0.160
S: 0.840 0.158 0.319
S: 0.160 0.479 0.319
S: 0.479 0.319 0.160
S: 0.160 0.842 0.681
S: 0.319 0.160 0.479
S: 0.158 0.319 0.840
S: 0.840 0.521 0.681
S: 0.521 0.681 0.840

- formation energy without anion corrections (eV/atom) = -1.11
- raw total energy (eV per cell) = -132.90


4.
This record from the Alexandria database describes VMo2Os after structural relaxation. The functional is PBE.

Cell: 2.737 6.676 4.348 Å, 90.00 90.00 131.49°
Positions (direct):
V: 0.500 0.748 0.478
Mo: 0.223 0.992 0.978
Mo: 0.777 0.503 0.978
Os: 0.000 0.248 0.478

- raw total energy (eV per cell) = -42.16
- E_form (meV/atom) = -38.0


5.
This record from the Alexandria database describes PmTcPb2O6 after structural relaxation. The functional is PBE.

Cell: 6.088 6.090 5.860 Å, 58.66 58.68 59.96°
Each line ends with the local moment (μB).
Positions (direct):
Pm: 0.816 0.816 0.552  0.03
Tc: 0.316 0.316 0.052  1.56
Pb: 0.548 0.548 0.358  0.02
Pb: 0.085 0.085 0.745  0.02
O: 0.521 0.165 0.304  0.02
O: 0.165 0.009 0.306  0.02
O: 0.009 0.521 0.304  0.02
O: 0.467 0.623 0.797  0.02
O: 0.623 0.111 0.799  0.02
O: 0.111 0.467 0.799  0.02

- formation energy without anion corrections (eV/atom) = -1.75
- raw total energy (eV per cell) = -69.77


6.
This record from the Alexandria database describes Li2PtAu after structural relaxation. The functional is PBE.

Cell: 5.085 5.085 4.531 Å, 68.98 68.98 32.98°
Positions (direct):
Au: 0.247 0.247 0.165
Pt: 0.501 0.501 0.588
Li: 0.992 0.992 0.084
Li: 0.760 0.760 0.663

- raw total energy (eV per cell) = -15.14
- E_form (meV/atom) = -499.3